# 1
Material: TbScP2
Method: DFT, GGA-PBE
State: relaxed

Cell and atoms, written as POSCAR:
```
TbScP2
1.0
3.377 -1.951 0.000
3.377 1.951 0.000
-2.257 0.000 6.340
Tb Sc P
1 1 2
Direct
0.000 0.000 0.000 Tb
0.500 0.500 0.500 Sc
0.244 0.244 0.733 P
0.756 0.756 0.267 P
```

- ρ (g/cm³) = 5.3
- raw total energy (eV/atom) = -6.9788
- DFT formation energy (eV per atom) = -1.533
- offset from the most stable computed form (meV per atom) = 0
- spin magnetization (μB/cell) = 0.00



# 2
Material: Co2CuN2
Method: DFT, GGA-PBE
State: relaxed

Cell and atoms, written as POSCAR:
```
Co2CuN2
1.0
-1.668 1.668 4.464
1.668 -1.668 4.464
1.668 1.668 -4.464
Co Cu N
2 1 2
Direct
0.153 0.153 0.000 Co
0.847 0.847 0.000 Co
0.500 0.500 0.000 Cu
0.250 0.750 0.500 N
0.750 0.250 0.500 N
```

- ρ (g/cm³) = 7.0
- raw total energy (eV/atom) = -6.3417
- formation energy (no corrections) (kJ/mol of atoms) = 63
- offset from the most stable computed form (meV per atom) = 285
- spin magnetization (μB/cell) = 0.47



# 3
Material: Re2TcPt
Method: DFT, GGA-PBE
State: relaxed

Cell and atoms, written as POSCAR:
```
Re2TcPt
1.0
-1.957 1.957 3.884
1.957 -1.957 3.884
1.957 1.957 -3.884
Re Tc Pt
2 1 1
Direct
0.250 0.750 0.500 Re
0.750 0.250 0.500 Re
0.000 0.000 0.000 Tc
0.500 0.500 0.000 Pt
```

- ρ (g/cm³) = 18.6
- raw total energy (eV/atom) = -10.3955
- DFT formation energy (eV per atom) = -0.070
- offset from the most stable computed form (meV per atom) = 15
- spin magnetization (μB/cell) = 0.00



# 4
Material: Sm2Ho3TmAs6
Method: DFT, GGA-PBE
State: relaxed

Cell and atoms, written as POSCAR:
```
Sm2Ho3TmAs6
1.0
9.005 -2.067 0.000
9.005 2.067 0.000
-1.894 0.000 8.044
Sm Ho Tm As
2 3 1 6
Direct
0.166 0.166 0.332 Sm
0.834 0.834 0.668 Sm
0.167 0.167 0.834 Ho
0.500 0.500 0.500 Ho
0.833 0.833 0.166 Ho
0.500 0.500 0.000 Tm
0.002 0.002 0.753 As
0.334 0.334 0.922 As
0.335 0.335 0.413 As
0.665 0.665 0.587 As
0.666 0.666 0.078 As
0.998 0.998 0.247 As
```

- ρ (g/cm³) = 7.8
- raw total energy (eV/atom) = -6.1471
- DFT formation energy (eV per atom) = -1.519
- spin magnetization (μB/cell) = 0.00